[1]
The following is a PBE-GGA calculation of crystalline Nd4Te2AsS at its relaxed geometry, from Alexandria.

Lattice parameters (Å, degrees): 4.283 7.395 7.714 108.75 90.00 90.00
Atoms (fractional coordinates):
Te (0.500, 0.000, 0.500)
Nd (0.000, 0.267, 0.788)
Te (0.000, 0.500, 0.500)
As (0.000, 0.000, 0.000)
Nd (0.500, 0.758, 0.784)
Nd (0.000, 0.733, 0.212)
S (0.500, 0.500, 0.000)
Nd (0.500, 0.242, 0.216)

Computed properties:
crystal system: monoclinic
E_form (uncorrected): -1266 kJ/mol of formula units
final energy: -5.906 eV/atom


[2]
The following is a PBE-GGA calculation of crystalline Dy4Ho9Tl11 at its relaxed geometry, from Alexandria.

Lattice parameters (Å, degrees): 3.570 14.014 14.014 109.72 90.00 90.00
Atoms (fractional coordinates):
Tl (0.000, 0.623, 0.377)
Ho (0.500, 0.016, 0.204)
Ho (0.500, 0.614, 0.159)
Tl (0.000, 0.814, 0.186)
Tl (0.000, 0.590, 0.950)
Dy (0.500, 0.585, 0.748)
Tl (0.000, 0.186, 0.814)
Ho (0.500, 0.984, 0.796)
Tl (0.000, 0.377, 0.623)
Dy (0.500, 0.748, 0.585)
Tl (0.000, 0.213, 0.213)
Tl (0.000, 0.410, 0.050)
Tl (0.000, 0.787, 0.787)
Tl (0.000, 0.000, 0.000)
Dy (0.500, 0.415, 0.252)
Tl (0.000, 0.050, 0.410)
Ho (0.500, 0.159, 0.614)
Ho (0.500, 0.796, 0.984)
Tl (0.000, 0.950, 0.590)
Ho (0.500, 0.204, 0.016)
Ho (0.500, 0.386, 0.841)
Ho (0.500, 0.841, 0.386)
Ho (0.500, 0.500, 0.500)
Dy (0.500, 0.252, 0.415)

Computed properties:
crystal system: orthorhombic
final energy: -3.824 eV/atom


[3]
The following is a PBE-GGA calculation of crystalline Y2VGe4Pt3 at its relaxed geometry, from Alexandria.

Lattice parameters (Å, degrees): 4.147 4.147 10.890 90.00 90.00 90.00
Each line ends with the local moment (μB).
Atoms (fractional coordinates):
Pt (0.000, 0.500, 0.137)  -0.02
Y (0.000, 0.500, 0.746)  -0.01
Ge (0.000, 0.000, 0.000)  0.00
Pt (0.000, 0.000, 0.500)  0.05
Y (0.500, 0.000, 0.254)  -0.01
V (0.500, 0.500, 0.500)  1.59
Ge (0.000, 0.500, 0.364)  -0.03
Ge (0.500, 0.000, 0.636)  -0.03
Pt (0.500, 0.000, 0.863)  -0.02
Ge (0.500, 0.500, 0.000)  -0.01

Computed properties:
crystal system: tetragonal
final energy: -6.662 eV/atom


[4]
The following is a PBE-GGA calculation of crystalline Ca2OsAu at its relaxed geometry, from Alexandria.

Lattice parameters (Å, degrees): 5.802 5.802 5.309 76.09 76.09 30.41
Atoms (fractional coordinates):
Ca (0.781, 0.781, 0.681)
Os (0.530, 0.530, 0.540)
Au (0.216, 0.216, 0.219)
Ca (0.973, 0.973, 0.060)

Computed properties:
crystal system: monoclinic
final energy: -4.556 eV/atom


The highest final energy belongs to which entry?
Dy4Ho9Tl11


Look up the final energy of the fourth one.
-4.556 eV/atom


What is the final energy in the second record?
-3.824 eV/atom


What is the final energy in the fourth record?
-4.556 eV/atom